A relaxed structure of TbPr5NdEr2, computed with PBE-GGA. Values from VASP.

Properties
- total energy (eV per atom) = -4.570
- density (g cm⁻³) = 7.03
- calculated volume (Å³/cell) = 634

The structure in Quantum ESPRESSO input format:
```
&SYSTEM
  ibrav = 0, nat = 18, ntyp = 4
/
ATOMIC_SPECIES
Tb 158.93 Tb.upf
Pr 140.91 Pr.upf
Nd 144.24 Nd.upf
Er 167.26 Er.upf
CELL_PARAMETERS angstrom
2.8492 -10.2857 0.0000
2.8492 10.2857 0.0000
0.0000 0.0000 10.8140
ATOMIC_POSITIONS angstrom
Tb 2.8492 8.4352 5.4070
Tb 2.8492 -8.4352 0.0000
Pr 2.8492 9.8747 8.4935
Pr 2.8492 8.0140 0.7272
Pr 2.8492 6.0724 8.0525
Pr 2.8492 5.7843 3.8030
Pr 2.8492 0.3252 0.6847
Pr 2.8492 -0.3252 6.0917
Pr 2.8492 -5.7843 9.2100
Pr 2.8492 -6.0724 2.6455
Pr 2.8492 -8.0140 6.1342
Pr 2.8492 -9.8747 3.0865
Nd 2.8492 4.1267 0.5548
Nd 2.8492 -4.1267 5.9618
Er 2.8492 2.3975 3.8623
Er 2.8492 2.2707 8.4521
Er 2.8492 -2.2707 3.0451
Er 2.8492 -2.3975 9.2693
```